*P*
Material: CrIn3O
Method: DFT, PBE+U
State: optimized geometry

Values from the calculation:
volume = 99.5 Å³/cell
spin magnetization = 1.23 μB/f.u.
Fermi-level density of states = 4.42 states/eV/f.u.

The structure in CIF format:
```
data_CrIn3O
_chemical_formula_sum 'Cr1 In3 O1'
_cell_length_a 4.6338
_cell_length_b 4.6338
_cell_length_c 4.6338
_cell_angle_alpha 90.00
_cell_angle_beta 90.00
_cell_angle_gamma 90.00
_symmetry_space_group_name_H-M 'P 1'
_symmetry_Int_Tables_number 1
loop_
_symmetry_equiv_pos_as_xyz
'x,y,z'
loop_
_atom_site_label
_atom_site_fract_x
_atom_site_fract_y
_atom_site_fract_z
_atom_site_occupancy
In1 0.0000 0.0000 0.5000 1
In2 0.5000 0.0000 0.0000 1
In3 0.0000 0.5000 0.0000 1
Cr1 0.5000 0.5000 0.5000 1
O1 0.0000 0.0000 0.0000 1
```

---

*Q*
Material: CrIn3O
Method: DFT, PBE+U
State: optimized geometry

Values from the calculation:
volume = 147.3 Å³/cell
spin magnetization = 5.01 μB/f.u.
Fermi-level density of states = 1.66 states/eV/f.u.

The structure in CIF format:
```
data_CrIn3O
_chemical_formula_sum 'Cr1 In3 O1'
_cell_length_a 5.2807
_cell_length_b 5.2807
_cell_length_c 5.2807
_cell_angle_alpha 90.00
_cell_angle_beta 90.00
_cell_angle_gamma 90.00
_symmetry_space_group_name_H-M 'P 1'
_symmetry_Int_Tables_number 1
loop_
_symmetry_equiv_pos_as_xyz
'x,y,z'
loop_
_atom_site_label
_atom_site_fract_x
_atom_site_fract_y
_atom_site_fract_z
_atom_site_occupancy
Cr1 0.0000 0.0000 0.0000 1
O1 0.5000 0.5000 0.5000 1
In1 0.5000 0.0000 0.0000 1
In2 0.0000 0.5000 0.0000 1
In3 0.0000 0.0000 0.5000 1
```

---

Stability check: which of them is most stable? *P*.

---

*P*
Material: CrInPO2
Method: DFT, PBE+U
State: optimized geometry

Values from the calculation:
volume = 91.0 Å³/cell
spin magnetization = 2.03 μB/f.u.
Fermi-level density of states = 3.81 states/eV/f.u.

The structure in CIF format:
```
data_CrInPO2
_chemical_formula_sum 'Cr1 In1 P1 O2'
_cell_length_a 4.0343
_cell_length_b 4.0343
_cell_length_c 5.5925
_cell_angle_alpha 90.00
_cell_angle_beta 90.00
_cell_angle_gamma 90.00
_symmetry_space_group_name_H-M 'P 1'
_symmetry_Int_Tables_number 1
loop_
_symmetry_equiv_pos_as_xyz
'x,y,z'
loop_
_atom_site_label
_atom_site_fract_x
_atom_site_fract_y
_atom_site_fract_z
_atom_site_occupancy
O1 0.5000 0.0000 0.0000 1
O2 0.0000 0.5000 0.0000 1
P1 0.0000 0.0000 0.5000 1
Cr1 0.5000 0.5000 0.5000 1
In1 0.0000 0.0000 0.0000 1
```

---

*Q*
Material: CrInPO2
Method: DFT, PBE+U
State: optimized geometry

Values from the calculation:
volume = 71.5 Å³/cell
spin magnetization = 1.74 μB/f.u.
Fermi-level density of states = 1.85 states/eV/f.u.

The structure in CIF format:
```
data_CrInPO2
_chemical_formula_sum 'Cr1 In1 P1 O2'
_cell_length_a 3.7245
_cell_length_b 3.7245
_cell_length_c 5.1528
_cell_angle_alpha 90.00
_cell_angle_beta 90.00
_cell_angle_gamma 90.00
_symmetry_space_group_name_H-M 'P 1'
_symmetry_Int_Tables_number 1
loop_
_symmetry_equiv_pos_as_xyz
'x,y,z'
loop_
_atom_site_label
_atom_site_fract_x
_atom_site_fract_y
_atom_site_fract_z
_atom_site_occupancy
O1 0.5000 0.0000 0.0000 1
O2 0.0000 0.5000 0.0000 1
P1 0.0000 0.0000 0.5000 1
In1 0.5000 0.5000 0.5000 1
Cr1 0.0000 0.0000 0.0000 1
```

---

Stability check: which of them is most stable? *Q*.